Entry 1:
Entry from the Alexandria database: a relaxed structure of ReNiRh2 (GGA-PBE). Values from VASP.

Its crystal system is orthorhombic. As for the space-group type: Pmm2, No. 25.

```
&SYSTEM
  ibrav = 0, nat = 4, ntyp = 3
/
ATOMIC_SPECIES
Re 186.21 Re.upf
Ni 58.69 Ni.upf
Rh 102.91 Rh.upf
CELL_PARAMETERS angstrom
2.692 0.000 0.000
0.000 3.805 0.000
0.000 0.000 5.324
ATOMIC_POSITIONS crystal
Re 0.000 0.000 0.000
Ni 0.500 0.500 0.766
Rh 0.000 0.000 0.527
Rh 0.500 0.500 0.250
```

***

Entry 2:
Entry from the Alexandria database: a relaxed structure of ReNiRh4 (GGA-PBE). Values from VASP.

Its crystal system is cubic. As for the space-group type: F-43m, No. 216.

```
&SYSTEM
  ibrav = 0, nat = 6, ntyp = 3
/
ATOMIC_SPECIES
Re 186.21 Re.upf
Ni 58.69 Ni.upf
Rh 102.91 Rh.upf
CELL_PARAMETERS angstrom
0.000 3.541 3.541
3.541 0.000 3.541
3.541 3.541 0.000
ATOMIC_POSITIONS crystal
Re 0.000 0.000 0.000
Ni 0.750 0.750 0.750
Rh 0.375 0.375 0.375
Rh 0.375 0.375 0.874
Rh 0.375 0.874 0.375
Rh 0.874 0.375 0.375
```

***

Entry 3:
Entry from the Alexandria database: a relaxed structure of ReNiRh2 (GGA-PBE). Values from VASP.

Its crystal system is orthorhombic. As for the space-group type: Cmmm, No. 65.

```
&SYSTEM
  ibrav = 0, nat = 4, ntyp = 3
/
ATOMIC_SPECIES
Re 186.21 Re.upf
Ni 58.69 Ni.upf
Rh 102.91 Rh.upf
CELL_PARAMETERS angstrom
2.692 -3.775 0.000
2.692 3.775 0.000
0.000 0.000 2.699
ATOMIC_POSITIONS crystal
Re 0.000 0.000 0.000
Ni 0.500 0.500 0.000
Rh 0.000 0.500 0.500
Rh 0.500 0.000 0.500
```

***

Entry 4:
Entry from the Alexandria database: a relaxed structure of ReNi2Rh6 (GGA-PBE). Values from VASP.

Its crystal system is monoclinic. As for the space-group type: C2/m, No. 12.

```
&SYSTEM
  ibrav = 0, nat = 9, ntyp = 3
/
ATOMIC_SPECIES
Re 186.21 Re.upf
Ni 58.69 Ni.upf
Rh 102.91 Rh.upf
CELL_PARAMETERS angstrom
4.231 -1.898 0.000
4.231 1.898 0.000
-2.479 0.000 7.630
ATOMIC_POSITIONS crystal
Re 0.000 0.000 0.000
Ni 0.338 0.338 0.784
Ni 0.662 0.662 0.216
Rh 0.003 0.003 0.327
Rh 0.334 0.334 0.447
Rh 0.335 0.335 0.111
Rh 0.665 0.665 0.889
Rh 0.666 0.666 0.553
Rh 0.997 0.997 0.673
```

***

Entry 5:
Entry from the Alexandria database: a relaxed structure of ReNiRh4 (GGA-PBE). Values from VASP.

Its crystal system is monoclinic. As for the space-group type: C2/m, No. 12.

```
&SYSTEM
  ibrav = 0, nat = 6, ntyp = 3
/
ATOMIC_SPECIES
Re 186.21 Re.upf
Ni 58.69 Ni.upf
Rh 102.91 Rh.upf
CELL_PARAMETERS angstrom
5.823 -1.361 0.000
5.823 1.361 0.000
-1.259 0.000 5.250
ATOMIC_POSITIONS crystal
Re 0.000 0.000 0.000
Ni 0.000 0.000 0.500
Rh 0.336 0.336 0.170
Rh 0.342 0.342 0.666
Rh 0.658 0.658 0.334
Rh 0.664 0.664 0.830
```

***

Entry 6:
Entry from the Alexandria database: a relaxed structure of ReNiRh (GGA-PBE). Values from VASP.

Its crystal system is orthorhombic. As for the space-group type: Imm2, No. 44.

```
&SYSTEM
  ibrav = 0, nat = 3, ntyp = 3
/
ATOMIC_SPECIES
Re 186.21 Re.upf
Ni 58.69 Ni.upf
Rh 102.91 Rh.upf
CELL_PARAMETERS angstrom
-1.349 1.872 3.957
1.349 -1.872 3.957
1.349 1.872 -3.957
ATOMIC_POSITIONS crystal
Re 0.000 0.000 0.000
Ni 0.340 0.340 0.000
Rh 0.670 0.670 0.000
```

***

Entry 7:
Entry from the Alexandria database: a relaxed structure of ReNi2Rh (GGA-PBE). Values from VASP.

Its crystal system is monoclinic. As for the space-group type: Cm, No. 8.

```
&SYSTEM
  ibrav = 0, nat = 4, ntyp = 3
/
ATOMIC_SPECIES
Re 186.21 Re.upf
Ni 58.69 Ni.upf
Rh 102.91 Rh.upf
CELL_PARAMETERS angstrom
4.369 -1.330 0.000
4.369 1.330 0.000
-0.824 0.000 4.394
ATOMIC_POSITIONS crystal
Re 0.000 0.000 0.000
Ni 0.252 0.252 0.747
Ni 0.505 0.505 0.514
Rh 0.754 0.754 0.249
```

***

Entry 8:
Entry from the Alexandria database: a relaxed structure of ReNiRh2 (GGA-PBE). Values from VASP.

Its crystal system is tetragonal. As for the space-group type: P4mm, No. 99.

```
&SYSTEM
  ibrav = 0, nat = 4, ntyp = 3
/
ATOMIC_SPECIES
Re 186.21 Re.upf
Ni 58.69 Ni.upf
Rh 102.91 Rh.upf
CELL_PARAMETERS angstrom
2.702 0.000 0.000
0.000 2.702 0.000
0.000 0.000 7.459
ATOMIC_POSITIONS crystal
Re 0.000 0.000 0.000
Ni 0.500 0.500 0.767
Rh 0.000 0.000 0.525
Rh 0.500 0.500 0.259
```

***

One value per record, in order, for VASP energy: -8.2666, -7.4523, -8.2103, -7.6051, -7.9729, -8.6196, -7.8508, -8.2267 eV/atom.
One value per record, in order, for volume: 13.6, 14.8, 13.7, 13.6, 13.9, 13.3, 12.8, 13.6 Å³/atom.